VASP calculation (PBE) on crystalline Ba2SrAc at its relaxed geometry.

Values from the calculation:
ΔE to the lowest computed polymorph = 0.0013 eV/atom
Energy of formation from the pure elements = 0.059 eV/atom

Cell lengths 4.2028, 4.2028, 12.3934 Å; angles 90.00, 90.00, 90.00 degrees
Positions (direct):
Sr (0.5000, 0.5000, 0.5000)
Ba (0.0000, 0.0000, 0.2380)
Ac (0.5000, 0.5000, 0.0000)
Ba (0.0000, 0.0000, 0.7620)